Material: TlGe2Se2
Method: DFT, PBE-GGA
State: optimized geometry

```
5
Lattice="-3.7242 2.7082 2.3549 -2.5141 -4.3905 1.0734 -0.5267 -1.2175 6.2468" Properties=species:S:1:pos:R:3 pbc="T T T"
Se -2.2208 -0.9716 3.2848
Se -4.5441 -1.9283 6.3903
Ge -3.0800 -3.2246 4.5171
Ge -3.6850 0.3248 5.1579
Tl 0.0000 0.0000 0.0000
```

Calculated values
The calculation puts the formation energy (no corrections) at 0.032 eV per atom. As for the total energy: -3.682 eV per atom. The space group is I4/mmm. The calculation puts the magnetization at 0.000 μB/cell. As for the energy above the most stable polymorph in this dataset: 148.3 meV/atom.